No. 1
## Tl5Bi2I12 (PBE)

Data for a relaxed Tl5Bi2I12 crystal.

The calculation puts the uncorrected formation energy at -9.315 eV per formula unit. The value obtained for the spin magnetization is 0.00 μB/f.u.

The structure belongs to space group C2/m (No. 12); the cell edges are 19.288, 8.970 and 11.066 Å and the angles 90.00°, 110.33° and 90.00°. The asymmetric unit holds Tl at (0.000, 0.000, 0.000), Tl at (0.184, 0.500, 0.323), Tl at (0.223, 0.500, 0.871), Bi at (0.000, 0.255, 0.500), I at (0.010, 0.000, 0.698), I at (0.010, 0.500, 0.709), I at (0.129, 0.250, 0.058) and I at (0.169, 0.263, 0.587).

No. 2
## TlBi2I (PBE)

Data for a relaxed TlBi2I crystal.

The calculation puts the uncorrected formation energy at -0.306 eV per formula unit. The value obtained for the spin magnetization is 0.00 μB/f.u. The distance to the lowest polymorph of the same formula comes out at 0.000 eV per atom.

The structure belongs to space group I-42d (No. 122); the cell edges are 4.770, 4.770 and 26.915 Å and the angles 90.00°, 90.00° and 90.00°. The asymmetric unit holds Tl at (0.000, 0.000, 0.000), Bi at (0.202, 0.250, 0.125) and I at (0.000, 0.000, 0.500).

No. 3
## TlBiI4 (PBE)

Data for a relaxed TlBiI4 crystal.

The calculation puts the uncorrected formation energy at -3.037 eV per formula unit. The value obtained for the spin magnetization is 0.00 μB/f.u. The distance to the lowest polymorph of the same formula comes out at 0.015 eV per atom.

The structure belongs to space group C2/m (No. 12); the cell edges are 14.892, 4.576 and 8.779 Å and the angles 90.00°, 101.28° and 90.00°. The asymmetric unit holds Tl at (0.000, 0.000, 0.000), Bi at (0.000, 0.500, 0.500), I at (0.123, 0.000, 0.401) and I at (0.126, 0.500, 0.823).

No. 4
## TlBiI3 (PBE)

Data for a relaxed TlBiI3 crystal.

The calculation puts the uncorrected formation energy at -1.913 eV per formula unit. The value obtained for the spin magnetization is 0.00 μB/f.u. The distance to the lowest polymorph of the same formula comes out at 0.035 eV per atom.

The structure belongs to space group P-1 (No. 2); the cell edges are 5.392, 8.713 and 10.644 Å and the angles 104.69°, 90.43° and 96.50°. The asymmetric unit holds Tl at (0.180, 0.297, 0.330), Bi at (0.312, 0.681, 0.168), I at (0.081, 0.107, 0.823), I at (0.312, 0.596, 0.860) and I at (0.322, 0.715, 0.462).

No. 5
## Tl2BiI5 (PBE)

Data for a relaxed Tl2BiI5 crystal.

The calculation puts the uncorrected formation energy at -4.219 eV per formula unit. The value obtained for the spin magnetization is 0.00 μB/f.u. The distance to the lowest polymorph of the same formula comes out at 0.000 eV per atom.

The structure belongs to space group P1 (No. 1); the cell edges are 6.892, 8.323 and 9.133 Å and the angles 70.88°, 68.09° and 65.55°. The asymmetric unit holds Tl at (0.000, 0.000, 0.000), Tl at (0.403, 0.722, 0.475), Bi at (0.164, 0.361, 0.238), I at (0.198, 0.134, 0.575), I at (0.302, 0.588, 0.901), I at (0.443, 0.017, 0.093), I at (0.738, 0.360, 0.239) and I at (0.955, 0.705, 0.383).

No. 6
## Tl5Bi3I12 (PBE)

Data for a relaxed Tl5Bi3I12 crystal.

The calculation puts the uncorrected formation energy at -6.577 eV per formula unit. The value obtained for the spin magnetization is 0.00 μB/f.u.

The structure belongs to space group Ia-3d (No. 230); the cell edges are 20.828, 20.828 and 20.828 Å and the angles 90.00°, 90.00° and 90.00°. The asymmetric unit holds Tl at (0.000, 0.000, 0.000), Tl at (0.000, 0.250, 0.375), Bi at (0.000, 0.250, 0.125) and I at (0.011, 0.040, 0.163).